The following is a PBE+U calculation of crystalline K2CeVO6 at its relaxed geometry, from Alexandria.

Cell and atoms, written as POSCAR:
```
K2CeVO6
1.0
5.800 0.000 0.000
0.000 6.250 0.000
0.000 -3.125 5.413
K O Ce V
2 6 1 1
Cartesian
5.285 3.125 1.804
0.515 0.000 3.609
4.605 0.000 1.481
4.605 1.843 4.673
1.195 4.968 0.740
4.605 -1.843 4.673
1.195 1.282 0.740
1.195 3.125 3.932
2.900 0.000 0.000
0.000 0.000 0.000
```

Values from the calculation:
Symmetry: No. 164
Calculated total energy: -6.54 eV per atom